Below is Ba3HfMn2O9 after structural relaxation, with properties calculated at the PBE with a Hubbard U level.

POSCAR file:
```
Ba3HfMn2O9
1.0
5.7237 0.0000 0.0000
-2.8619 4.9569 0.0000
0.0000 0.0000 7.0259
Ba Hf Mn O
3 1 2 9
Direct
0.3333 0.6667 0.6785
0.0000 0.0000 0.0000
0.6667 0.3333 0.3215
0.0000 0.0000 0.5000
0.3333 0.6667 0.1656
0.6667 0.3333 0.8344
0.8283 0.1717 0.6728
0.8283 0.6567 0.6728
0.3433 0.1717 0.6728
0.6567 0.8283 0.3272
0.1717 0.3433 0.3272
0.1717 0.8283 0.3272
0.5000 0.0000 0.0000
0.0000 0.5000 0.0000
0.5000 0.5000 0.0000
```

Summary:
* energy: -0.5461 Ry per atom